This record from the Alexandria database describes a geometry-optimized Te2PtRh structure. The functional is PBE-GGA.

Unit cell a=5.8462 b=5.8462 c=5.8462 alpha=147.71 beta=131.25 gamma=59.68
With the nearest neighbours (Å) after each atom.
Positions (direct):
1 Te 0.0000 0.0000 0.0000  2 Rh 2.77, 4 Pt 2.93
2 Te 0.7091 0.2091 0.5000  4 Rh 2.91, 2 Pt 2.98, 4 Te 3.21-3.25
3 Pt 0.4632 0.4632 0.0000  6 Te 2.93-2.98, 2 Rh 2.94, 2 Pt 3.25
4 Rh 0.2214 0.7214 0.5000  6 Te 2.77-2.91, 2 Pt 2.94

Calculated values
SG: No. 44
Polymorph energy (0 for the lowest one) in meV per atom: 376.9
Calculated volume in Å³/atom: 19.9
N(E_F) in states/eV/atom: 0.514

---

This record from the Alexandria database describes a geometry-optimized FeReSi2 structure. The functional is PBE-GGA.

Unit cell a=4.7927 b=4.7927 c=4.7927 alpha=47.15 beta=47.15 gamma=47.15
With the nearest neighbours (Å) after each atom.
Positions (direct):
1 Fe 0.0000 0.0000 0.0000  6 Si 2.36-2.40, 1 Re 2.41
2 Re 0.1888 0.1888 0.1888  1 Fe 2.41, 6 Si 2.44-2.66
3 Si 0.4066 0.4066 0.4066  3 Fe 2.40, 1 Si 2.51, 3 Re 2.66
4 Si 0.6036 0.6036 0.6036  3 Fe 2.36, 3 Re 2.44, 1 Si 2.51

Calculated values
SG: No. 160
Calculated volume in Å³/atom: 13.5
Energy in eV/atom: -8.024
N(E_F) in states/eV/atom: 0.825

---

This record from the Alexandria database describes a geometry-optimized Th3Al2Co6 structure. The functional is PBE-GGA.

Unit cell a=7.7873 b=7.7873 c=7.7873 alpha=109.47 beta=109.47 gamma=109.47
With the nearest neighbours (Å) after each atom.
Positions (direct):
1 Th 0.0000 0.2911 0.2911  4 Co 2.70
2 Th 0.0000 0.7089 0.7089  4 Co 2.70
3 Th 0.2911 0.0000 0.2911  4 Co 2.70
4 Th 0.2911 0.2911 0.0000  4 Co 2.70
5 Th 0.7089 0.0000 0.7089  4 Co 2.70
6 Th 0.7089 0.7089 0.0000  4 Co 2.70
7 Al 0.0000 0.0000 0.5000  6 Co 2.56
8 Al 0.0000 0.5000 0.0000  6 Co 2.56
9 Al 0.5000 0.0000 0.0000  6 Co 2.56
10 Al 0.5000 0.5000 0.5000  6 Co 2.56
11 Co 0.0000 0.3470 0.6530  2 Al 2.56, 6 Co 2.61-2.75, 2 Th 2.70
12 Co 0.0000 0.6530 0.3470  2 Al 2.56, 6 Co 2.61-2.75, 2 Th 2.70
13 Co 0.3061 0.6530 0.6530  2 Al 2.56, 6 Co 2.61-2.75, 2 Th 2.70
14 Co 0.3470 0.0000 0.6530  2 Al 2.56, 6 Co 2.61-2.75, 2 Th 2.70
15 Co 0.3470 0.3470 0.6939  2 Al 2.56, 6 Co 2.61-2.75, 2 Th 2.70
16 Co 0.3470 0.6530 0.0000  2 Al 2.56, 6 Co 2.61-2.75, 2 Th 2.70
17 Co 0.3470 0.6939 0.3470  2 Al 2.56, 6 Co 2.61-2.75, 2 Th 2.70
18 Co 0.6530 0.0000 0.3470  2 Al 2.56, 6 Co 2.61-2.75, 2 Th 2.70
19 Co 0.6530 0.3061 0.6530  2 Al 2.56, 6 Co 2.61-2.75, 2 Th 2.70
20 Co 0.6530 0.3470 0.0000  2 Al 2.56, 6 Co 2.61-2.75, 2 Th 2.70
21 Co 0.6530 0.6530 0.3061  2 Al 2.56, 6 Co 2.61-2.75, 2 Th 2.70
22 Co 0.6939 0.3470 0.3470  2 Al 2.56, 6 Co 2.61-2.75, 2 Th 2.70

Calculated values
SG: No. 229
Calculated volume in Å³/atom: 16.5
Calculated formation energy in kcal/mol of atoms: -8.7
N(E_F) in states/eV/atom: 0.905

---

This record from the Alexandria database describes a geometry-optimized Tb4ErNi2 structure. The functional is PBE-GGA.

Unit cell a=7.4730 b=6.3870 c=7.9512 alpha=90.00 beta=112.44 gamma=90.00
With the nearest neighbours (Å) after each atom.
Positions (direct):
1 Tb 0.0273 0.2500 0.3867  1 Ni 2.58
2 Tb 0.2494 0.7500 0.3436  2 Ni 2.71-2.78
3 Tb 0.4070 0.0053 0.7693  4 Ni 2.97-3.21, 2 Tb 3.13-3.26
4 Tb 0.4070 0.4947 0.7693  4 Ni 2.97-3.21, 2 Tb 3.13-3.26
5 Tb 0.5930 0.5053 0.2307  4 Ni 2.97-3.21, 2 Tb 3.13-3.26
6 Tb 0.5930 0.9947 0.2307  4 Ni 2.97-3.21, 2 Tb 3.13-3.26
7 Tb 0.7506 0.2500 0.6564  2 Ni 2.71-2.78
8 Tb 0.9727 0.7500 0.6133  1 Ni 2.58
9 Er 0.1507 0.2500 0.0302  2 Ni 2.83-2.94
10 Er 0.8493 0.7500 0.9698  2 Ni 2.83-2.94
11 Ni 0.2521 0.7500 0.9954  6 Tb 2.78-2.97, 1 Er 2.94
12 Ni 0.3812 0.2500 0.4078  2 Tb 2.58-2.71, 1 Er 2.83
13 Ni 0.6188 0.7500 0.5922  2 Tb 2.58-2.71, 1 Er 2.83
14 Ni 0.7479 0.2500 0.0046  6 Tb 2.78-2.97, 1 Er 2.94

Calculated values
SG: No. 11
Calculated volume in Å³/atom: 25.1
Calculated formation energy in kcal/mol of atoms: -3.3
N(E_F) in states/eV/atom: 1.256

---

This record from the Alexandria database describes a geometry-optimized Y3Er8 structure. The functional is PBE-GGA.

Unit cell a=13.2380 b=13.2380 c=13.2380 alpha=24.21 beta=24.21 gamma=24.21
With the nearest neighbours (Å) after each atom.
Positions (direct):
1 Y 0.0000 0.0000 0.0000  8 Er 3.21-3.39
2 Y 0.2650 0.2650 0.2650  7 Er 3.26-3.62
3 Y 0.7350 0.7350 0.7350  7 Er 3.26-3.62
4 Er 0.0834 0.0834 0.0834  4 Y 3.21-3.26, 4 Er 3.37-3.52
5 Er 0.1710 0.1710 0.1710  7 Er 3.22-3.57
6 Er 0.3618 0.3618 0.3618  7 Y 3.39-3.73, 1 Er 3.58
7 Er 0.4548 0.4548 0.4548  11 Er 3.49-3.73, 3 Y 3.80
8 Er 0.5452 0.5452 0.5452  11 Er 3.49-3.73, 3 Y 3.80
9 Er 0.6382 0.6382 0.6382  7 Y 3.39-3.73, 1 Er 3.58
10 Er 0.8290 0.8290 0.8290  7 Er 3.22-3.57
11 Er 0.9166 0.9166 0.9166  4 Y 3.21-3.26, 4 Er 3.37-3.52

Calculated values
SG: No. 166
Polymorph energy (0 for the lowest one) in meV per atom: 0.0
Calculated volume in Å³/atom: 31.2
Calculated formation energy in kcal/mol of atoms: 3.0
N(E_F) in states/eV/atom: 1.961

---

This record from the Alexandria database describes a geometry-optimized RbAcCdO3 structure. The functional is PBE-GGA.

Unit cell a=7.0386 b=3.9553 c=9.8858 alpha=90.00 beta=104.16 gamma=90.00
With the nearest neighbours (Å) after each atom.
Positions (direct):
1 Rb 0.1537 0.2500 0.1957  3 O 2.79-3.04
2 Rb 0.8463 0.7500 0.8043  3 O 2.79-3.04
3 Ac 0.3623 0.2500 0.8412  6 O 2.48-2.61
4 Ac 0.6377 0.7500 0.1588  6 O 2.48-2.61
5 Cd 0.1808 0.7500 0.5472  2 O 2.10-2.13
6 Cd 0.8192 0.2500 0.4528  2 O 2.10-2.13
7 O 0.0369 0.2500 0.6450  1 Cd 2.13
8 O 0.3103 0.7500 0.9923  3 Ac 2.48-2.56
9 O 0.4398 0.7500 0.7070  1 Cd 2.10
10 O 0.5602 0.2500 0.2930  1 Cd 2.10
11 O 0.6897 0.2500 0.0077  3 Ac 2.48-2.56
12 O 0.9631 0.7500 0.3550  1 Cd 2.13

Calculated values
SG: No. 11
Calculated volume in Å³/atom: 22.2
Energy in eV/atom: -5.457
N(E_F) in states/eV/atom: 0.000

---

This record from the Alexandria database describes a geometry-optimized Pr4Sm4Tm3 structure. The functional is PBE-GGA.

Unit cell a=18.4827 b=18.4827 c=3.5848 alpha=95.48 beta=95.48 gamma=17.72
With the nearest neighbours (Å) after each atom.
Positions (direct):
1 Pr 0.0952 0.0952 0.0957  4 Sm 3.41-3.61, 2 Pr 3.58, 4 Tm 3.59
2 Pr 0.2788 0.2788 0.7789  5 Sm 3.54-3.66, 6 Pr 3.58-3.96, 2 Tm 3.78-3.79
3 Pr 0.7212 0.7212 0.2211  5 Sm 3.54-3.66, 6 Pr 3.58-3.96, 2 Tm 3.78-3.79
4 Pr 0.9048 0.9048 0.9043  4 Sm 3.41-3.61, 2 Pr 3.58, 4 Tm 3.59
5 Sm 0.1813 0.1813 0.6818  2 Tm 3.41, 7 Pr 3.54-3.66, 2 Sm 3.58
6 Sm 0.4566 0.4566 0.9571  1 Sm 3.15, 2 Pr 3.41
7 Sm 0.5434 0.5434 0.0429  1 Sm 3.15, 2 Pr 3.41
8 Sm 0.8187 0.8187 0.3182  2 Tm 3.41, 7 Pr 3.54-3.66, 2 Sm 3.58
9 Tm 0.0000 0.0000 0.5000  2 Tm 3.58, 8 Sm 3.71-3.72, 4 Pr 3.89-3.90
10 Tm 0.3704 0.3704 0.3710  4 Sm 3.41-3.61, 2 Tm 3.58, 6 Pr 3.59-3.79
11 Tm 0.6296 0.6296 0.6290  4 Sm 3.41-3.61, 2 Tm 3.58, 6 Pr 3.59-3.79

Calculated values
SG: No. 12
Polymorph energy (0 for the lowest one) in meV per atom: 0.0
Calculated volume in Å³/atom: 33.7
Calculated formation energy in kcal/mol of atoms: 0.9
N(E_F) in states/eV/atom: 1.686

---

This record from the Alexandria database describes a geometry-optimized BaLaBe2 structure. The functional is PBE-GGA.

Unit cell a=5.3251 b=5.3251 c=5.3251 alpha=60.00 beta=60.00 gamma=60.00
With the nearest neighbours (Å) after each atom.
Positions (direct):
1 Ba 0.0000 0.0000 0.0000  8 Be 3.26
2 La 0.5000 0.5000 0.5000  8 Be 3.26
3 Be 0.2500 0.2500 0.2500  4 Ba 3.26, 4 La 3.26
4 Be 0.7500 0.7500 0.7500  4 Ba 3.26, 4 La 3.26

Calculated values
SG: No. 225
Polymorph energy (0 for the lowest one) in meV per atom: 262.2
Calculated volume in Å³/atom: 26.7
Calculated formation energy in kcal/mol of atoms: 11.9
N(E_F) in states/eV/atom: 0.846

---

This record from the Alexandria database describes a geometry-optimized HoCd3Rh structure. The functional is PBE-GGA.

Unit cell a=10.1683 b=10.1683 c=10.1683 alpha=149.17 beta=149.17 gamma=44.16
With the nearest neighbours (Å) after each atom.
Positions (direct):
1 Ho 0.2166 0.2166 0.0000  2 Rh 2.78
2 Ho 0.7834 0.7834 0.0000  2 Rh 2.78
3 Cd 0.3729 0.6224 0.7505  2 Rh 2.67-2.76, 2 Cd 2.70-2.71
4 Cd 0.3776 0.1280 0.7505  2 Rh 2.67-2.76, 2 Cd 2.70-2.71
5 Cd 0.3776 0.6271 0.2495  2 Rh 2.67-2.76, 2 Cd 2.70-2.71
6 Cd 0.5309 0.0309 0.5000  2 Rh 2.76
7 Cd 0.8720 0.6224 0.2495  2 Rh 2.67-2.76, 2 Cd 2.70-2.71
8 Cd 0.9691 0.4691 0.5000  2 Rh 2.76
9 Rh 0.2500 0.7500 0.5000  4 Cd 2.76, 4 Ho 2.78
10 Rh 0.5000 0.5000 0.0000  8 Cd 2.67-2.76

Calculated values
SG: No. 119
Polymorph energy (0 for the lowest one) in meV per atom: 216.1
Calculated volume in Å³/atom: 27.5
Calculated formation energy in kcal/mol of atoms: -2.6
N(E_F) in states/eV/atom: 0.496

---

This record from the Alexandria database describes a geometry-optimized Na7CaTl4 structure. The functional is PBE-GGA.

Unit cell a=7.8107 b=7.8107 c=11.1878 alpha=121.67 beta=121.67 gamma=44.28
With the nearest neighbours (Å) after each atom.
Positions (direct):
1 Na 0.0000 0.0000 0.0000  2 Ca 2.94, 4 Tl 3.06-3.11
2 Na 0.1777 0.1777 0.6153  4 Tl 3.11-3.38
3 Na 0.2834 0.2834 0.1182  4 Tl 3.28-3.47, 2 Na 3.40-3.52
4 Na 0.4363 0.4363 0.6185  3 Tl 3.18-3.40, 1 Na 3.40
5 Na 0.5637 0.5637 0.3815  3 Tl 3.18-3.40, 1 Na 3.40
6 Na 0.7166 0.7166 0.8818  4 Tl 3.28-3.47, 2 Na 3.40-3.52
7 Na 0.8223 0.8223 0.3847  4 Tl 3.11-3.38
8 Ca 0.5000 0.5000 0.0000  2 Na 2.94
9 Tl 0.0633 0.0633 0.7811  5 Na 3.06-3.40, 1 Tl 3.11
10 Tl 0.1887 0.1887 0.3302  6 Na 3.11-3.38, 1 Tl 3.11
11 Tl 0.8113 0.8113 0.6698  6 Na 3.11-3.38, 1 Tl 3.11
12 Tl 0.9367 0.9367 0.2189  5 Na 3.06-3.40, 1 Tl 3.11

Calculated values
SG: No. 12
Calculated volume in Å³/atom: 32.7
Calculated formation energy in kcal/mol of atoms: 0.2
N(E_F) in states/eV/atom: 0.555

---

This record from the Alexandria database describes a geometry-optimized BaTa3Hg structure. The functional is PBE-GGA.

Unit cell a=5.0889 b=5.0889 c=5.0889 alpha=90.00 beta=90.00 gamma=90.00
With the nearest neighbours (Å) after each atom.
Positions (direct):
1 Ba 0.0000 0.0000 0.0000  6 Ta 2.54
2 Ta 0.0000 0.0000 0.5000  2 Ba 2.54
3 Ta 0.0000 0.5000 0.0000  2 Ba 2.54
4 Ta 0.5000 0.0000 0.0000  2 Ba 2.54
5 Hg 0.5000 0.5000 0.5000  12 Ta 3.60

Calculated values
SG: No. 221
Polymorph energy (0 for the lowest one) in meV per atom: 903.1
Calculated volume in Å³/atom: 26.4
Calculated formation energy in kcal/mol of atoms: 66.8
N(E_F) in states/eV/atom: 0.837

---

This record from the Alexandria database describes a geometry-optimized FeSiP2 structure. The functional is PBE-GGA.

Unit cell a=8.4310 b=8.4310 c=8.4310 alpha=18.93 beta=18.93 gamma=18.93
With the nearest neighbours (Å) after each atom.
Positions (direct):
1 Fe 0.0000 0.0000 0.0000  6 P 2.30
2 Si 0.5000 0.5000 0.5000  6 Si 2.77, 6 P 2.96
3 P 0.2671 0.2671 0.2671  3 Fe 2.30
4 P 0.7329 0.7329 0.7329  3 Fe 2.30

Calculated values
SG: No. 166
Calculated volume in Å³/atom: 13.8
Energy in eV/atom: -6.019
N(E_F) in states/eV/atom: 0.670